Entry 1:
Density functional theory data (PBE) for crystalline LuCrB4 at its relaxed geometry.

Values from the calculation:
E above lowest polymorph = 1050 meV/atom
spin magnetization = 0.0 μB per formula unit
ΔH_f (0 K) = 0.345 eV/atom
space group = F-43m

extended XYZ file:
```
6
Lattice="0.000 3.026 3.026 3.026 0.000 3.026 3.026 3.026 0.000" Properties=species:S:1:pos:R:3 pbc="T T T"
Lu 0.000 0.000 0.000
Cr 1.513 1.513 1.513
B 3.866 2.185 2.185
B 2.185 3.866 2.185
B 2.185 2.185 3.866
B 3.866 3.866 3.866
```



Entry 2:
Density functional theory data (PBE) for crystalline PuTiMnIr at its relaxed geometry.

Values from the calculation:
spin magnetization = 3.4 μB per formula unit
ΔH_f (0 K) = -0.274 eV/atom
space group = F-43m

extended XYZ file:
```
16
Lattice="6.479 0.000 0.000 0.000 6.479 0.000 0.000 0.000 6.479" Properties=species:S:1:pos:R:3 pbc="T T T"
Pu 0.000 0.000 0.000
Pu 0.000 3.240 3.240
Pu 3.240 0.000 3.240
Pu 3.240 3.240 0.000
Ti 0.000 0.000 3.240
Ti 0.000 3.240 0.000
Ti 3.240 0.000 0.000
Ti 3.240 3.240 3.240
Mn 1.620 1.620 1.620
Mn 1.620 4.860 4.860
Mn 4.860 1.620 4.860
Mn 4.860 4.860 1.620
Ir 1.620 1.620 4.860
Ir 1.620 4.860 1.620
Ir 4.860 1.620 1.620
Ir 4.860 4.860 4.860
```



Number 1: density 8.1 g/cm3. Number 2: density 13.2 g/cm3.